CsMoO2: relaxed, PBE+U.

Geometry as POSCAR:
```
CsMoO2
1.0
1.730 0.999 7.322
-1.730 0.999 7.322
0.000 -1.997 7.322
Cs Mo O
1 1 2
Cartesian
0.000 0.000 0.000
0.000 0.000 10.984
0.000 0.000 2.693
0.000 0.000 19.274
```

N(E_F)	0.99	states/eV/cell
raw total energy	-22.77	eV/f.u.
ΔE to the lowest computed polymorph	0.000	eV/f.u.